# 1
VASP calculation (PBEsol) on crystalline Zr3Te4 at its relaxed geometry.

Lattice parameters (Å, degrees): 6.0128 6.0128 5.4734 90.00 90.00 120.00
Space group P6/mmm (No. 191)
Unique sites:
Zr  0.0000  0.5000  0.0000 [3 per cell]
Te  0.0000  0.0000  0.2477 [2 per cell]
Te  0.3333  0.6667  0.5000 [2 per cell]

Computed properties:
calculated total energy: -6.1631 eV per atom
formation energy (no corrections): -0.253 eV per atom
crystal system: hexagonal

=====

# 2
VASP calculation (PBEsol) on crystalline ZrTe5 at its relaxed geometry.

Lattice parameters (Å, degrees): 3.968 14.576 13.588 90.00 90.00 90.00
Space group Cmcm (No. 63)
Unique sites:
Zr  0.000  0.186  0.250 [4 per cell]
Te  0.000  0.162  0.750 [4 per cell]
Te  0.000  0.292  0.065 [8 per cell]
Te  0.000  0.427  0.648 [8 per cell]

Computed properties:
calculated total energy: -4.9497 eV per atom
formation energy (no corrections): -0.496 eV per atom
offset from the most stable computed form: 0 meV/atom
crystal system: orthorhombic

=====

Looking at size of the total moment for the records above, in order, we have 0.000; 0.000 μB per atom.